{"formula": "PmY2Tc", "functional": "PBE", "state": "relaxed", "lattice_angstrom": [[-1.2850, -5.7121, -2.5660], [5.2118, -3.1272, 4.3515], [-6.3774, -1.5093, 6.5536]], "species": ["Tc", "Y", "Tc", "Y", "Y", "Tc", "Y", "Y", "Pm", "Tc", "Pm", "Y", "Pm", "Y", "Pm", "Y"], "frac_coords": [[0.5353, 0.1161, 0.7500], [0.6611, 0.8243, 0.9351], [0.4647, 0.8839, 0.2500], [0.6611, 0.8243, 0.5649], [0.3389, 0.1757, 0.4351], [0.0353, 0.3839, 0.2500], [0.3389, 0.1757, 0.0649], [0.8389, 0.3243, 0.5649], [0.1287, 0.9552, 0.7500], [0.9647, 0.6161, 0.7500], [0.3713, 0.4552, 0.7500], [0.8389, 0.3243, 0.9351], [0.6287, 0.5448, 0.2500], [0.1611, 0.6757, 0.0649], [0.8713, 0.0448, 0.2500], [0.1611, 0.6757, 0.4351]], "ef_mev_per_atom": -60.4, "magmom_total_mub_per_cell": 0.0, "relative_energy_mev_per_atom": 0}



{"formula": "CdIr2Ru", "functional": "PBE", "state": "relaxed", "lattice_angstrom": [[7.3095, 0.0000, 0.0000], [0.0000, 7.3095, 0.0000], [3.6547, 3.6547, 2.6537]], "species": ["Ir", "Ir", "Ir", "Ir", "Ru", "Ru", "Cd", "Cd"], "frac_coords": [[0.5824, 0.1250, 0.2500], [0.8750, 0.8324, 0.7500], [0.1676, 0.6250, 0.2500], [0.3750, 0.4176, 0.7500], [0.5000, 0.5000, 0.0000], [0.2500, 0.7500, 0.5000], [0.7500, 0.2500, 0.5000], [0.0000, 0.0000, 0.0000]], "ef_mev_per_atom": 729.2, "magmom_total_mub_per_cell": 0.0}



no.,volume (Å³/atom)
1,27.68
2,17.72